[1]
Entry from the Alexandria database: an optimized crystal structure of Sc2TlCl (PBE).

The structure belongs to space group P4mm (No. 99); the cell edges are 3.560, 3.560 and 7.396 Å and the angles 90.00°, 90.00° and 90.00°. Symmetry generates all atoms from Sc at (0.000, 0.000, 0.000), Sc at (0.500, 0.500, 0.262), Tl at (0.000, 0.000, 0.505) and Cl at (0.500, 0.500, 0.893).

The value obtained for the final energy is -4.84 eV per atom. The formation energy (no corrections) comes out at -0.6171 eV per atom. The calculation puts the offset from the most stable computed form at 73 meV per atom.

---

[2]
Entry from the Alexandria database: an optimized crystal structure of CoAuSe2 (PBE).

The structure belongs to space group I-4m2 (No. 119); the cell edges are 3.596, 3.596 and 14.223 Å and the angles 90.00°, 90.00° and 90.00°. Symmetry generates all atoms from Co at (0.000, 0.000, 0.000), Au at (0.000, 0.500, 0.750), Se at (0.000, 0.000, 0.500) and Se at (0.000, 0.500, 0.250).

The value obtained for the final energy is -3.91 eV per atom. The formation energy (no corrections) comes out at 0.4251 eV per atom.

---

[3]
Entry from the Alexandria database: an optimized crystal structure of NaLi2YAu (PBE).

The structure belongs to space group P4/mmm (No. 123); the cell edges are 5.615, 5.615 and 6.249 Å and the angles 90.00°, 90.00° and 90.00°. Symmetry generates all atoms from Na at (0.000, 0.000, 0.000), Li at (0.000, 0.500, 0.500), Y at (0.000, 0.000, 0.500) and Au at (0.500, 0.500, 0.000).

The formation energy comes out at 1.131 eV/atom. The value obtained for the final energy is -1.85 eV per atom.

---

[4]
Entry from the Alexandria database: an optimized crystal structure of La2CeY3Se6 (PBE).

The structure belongs to space group C2/m (No. 12); the cell edges are 18.307, 4.146 and 8.451 Å and the angles 90.00°, 104.28° and 90.00°. Symmetry generates all atoms from La at (0.165, 0.000, 0.332), Ce at (0.000, 0.500, 0.000), Y at (0.000, 0.500, 0.500), Y at (0.168, 0.000, 0.835), Se at (0.005, 0.000, 0.744), Se at (0.163, 0.500, 0.594) and Se at (0.169, 0.500, 0.073).

The value obtained for the final energy is -6.53 eV per atom. The formation energy (no corrections) comes out at -1.8597 eV per atom.

---

[5]
Entry from the Alexandria database: an optimized crystal structure of AlSiSb (PBE).

The structure belongs to space group P3m1 (No. 156); the cell edges are 3.1278, 3.1278 and 7.5342 Å and the angles 90.00°, 90.00° and 120.00°. Symmetry generates all atoms from Al at (0.0000, 0.0000, 0.0000), Si at (0.3333, 0.6667, 0.7381) and Sb at (0.6667, 0.3333, 0.3242).

The value obtained for the final energy is -4.02 eV per atom. The formation energy (no corrections) comes out at 0.4044 eV per atom. The calculation puts the offset from the most stable computed form at 170 meV per atom.

---

[6]
Entry from the Alexandria database: an optimized crystal structure of Er3Ga3Os (PBE).

The structure belongs to space group C2/m (No. 12); the cell edges are 10.862, 4.154 and 14.180 Å and the angles 90.00°, 109.23° and 90.00°. Symmetry generates all atoms from Er at (0.029, 0.000, 0.382), Er at (0.109, 0.000, 0.922), Er at (0.241, 0.000, 0.240), Ga at (0.032, 0.500, 0.232), Ga at (0.109, 0.500, 0.075), Ga at (0.134, 0.500, 0.539) and Os at (0.238, 0.500, 0.395).

The formation energy comes out at -0.539 eV/atom. The value obtained for the final energy is -5.40 eV per atom.

---

[7]
Entry from the Alexandria database: an optimized crystal structure of Rb2PAu (PBE).

The structure belongs to space group I-42d (No. 122); the cell edges are 12.953, 12.953 and 4.714 Å and the angles 90.00°, 90.00° and 90.00°. Symmetry generates all atoms from Rb at (0.039, 0.250, 0.125), P at (0.000, 0.000, 0.000) and Au at (0.000, 0.000, 0.500).

The formation energy comes out at -0.234 eV/atom. The value obtained for the final energy is -2.89 eV per atom.

---

[8]
Entry from the Alexandria database: an optimized crystal structure of K2PdF5 (PBE).

The structure belongs to space group I4mm (No. 107); the cell edges are 6.198, 6.198 and 7.707 Å and the angles 90.00°, 90.00° and 90.00°. Symmetry generates all atoms from K at (0.000, 0.500, 0.000), Pd at (0.000, 0.000, 0.252), F at (0.000, 0.000, 0.982) and F at (0.225, 0.225, 0.260).

The value obtained for the final energy is -4.13 eV per atom. The formation energy (no corrections) comes out at -2.0413 eV per atom.

---

[9]
Entry from the Alexandria database: an optimized crystal structure of LiCo2CuN (PBE).

The structure belongs to space group P4/mmm (No. 123); the cell edges are 3.666, 3.666 and 3.978 Å and the angles 90.00°, 90.00° and 90.00°. Symmetry generates all atoms from Li at (0.000, 0.000, 0.000), Co at (0.000, 0.500, 0.500), Cu at (0.500, 0.500, 0.000) and N at (0.500, 0.500, 0.500).

The value obtained for the final energy is -5.70 eV per atom. The formation energy (no corrections) comes out at 0.0089 eV per atom. The calculation puts the offset from the most stable computed form at 94 meV per atom.

---

[10]
Entry from the Alexandria database: an optimized crystal structure of Ga3Sn (PBE).

The structure belongs to space group Pm-3m (No. 221); the cell edges are 4.404, 4.404 and 4.404 Å and the angles 90.00°, 90.00° and 90.00°. Symmetry generates all atoms from Ga at (0.000, 0.000, 0.500) and Sn at (0.500, 0.500, 0.500).

The formation energy comes out at 0.055 eV/atom. The value obtained for the final energy is -3.22 eV per atom.

---

[11]
Entry from the Alexandria database: an optimized crystal structure of HfZr2Pt9 (PBE).

The structure belongs to space group P4/mmm (No. 123); the cell edges are 4.046, 4.046 and 12.138 Å and the angles 90.00°, 90.00° and 90.00°. Symmetry generates all atoms from Hf at (0.000, 0.000, 0.000), Zr at (0.000, 0.000, 0.333), Pt at (0.000, 0.500, 0.165), Pt at (0.000, 0.500, 0.500), Pt at (0.500, 0.500, 0.000) and Pt at (0.500, 0.500, 0.333).

The formation energy comes out at -1.056 eV/atom. The value obtained for the final energy is -7.84 eV per atom.

---

[12]
Entry from the Alexandria database: an optimized crystal structure of Ce2ErFe (PBE).

The structure belongs to space group R3m (No. 160, hexagonal axes); the cell edges are 3.7264, 3.7264 and 25.8172 Å and the angles 90.00°, 90.00° and 120.00°. Symmetry generates all atoms from Ce at (0.0000, 0.0000, 0.0000), Ce at (0.0000, 0.0000, 0.2164), Er at (0.0000, 0.0000, 0.4417) and Fe at (0.0000, 0.0000, 0.6050).

The formation energy comes out at 0.113 eV/atom. The value obtained for the final energy is -6.11 eV per atom. The calculation puts the offset from the most stable computed form at 190 meV per atom.

---

[13]
Entry from the Alexandria database: an optimized crystal structure of Li2Ga2Si (PBE).

The structure belongs to space group P4/mbm (No. 127); the cell edges are 6.454, 6.454 and 4.269 Å and the angles 90.00°, 90.00° and 90.00°. Symmetry generates all atoms from Li at (0.169, 0.331, 0.000), Ga at (0.137, 0.637, 0.500) and Si at (0.000, 0.000, 0.500).

The value obtained for the final energy is -3.17 eV per atom. The formation energy (no corrections) comes out at -0.1130 eV per atom.

---

[14]
Entry from the Alexandria database: an optimized crystal structure of HfReSeN2 (PBE).

The structure belongs to space group P4/mmm (No. 123); the cell edges are 3.878, 3.878 and 5.128 Å and the angles 90.00°, 90.00° and 90.00°. Symmetry generates all atoms from Hf at (0.000, 0.000, 0.000), Re at (0.500, 0.500, 0.500), Se at (0.500, 0.500, 0.000) and N at (0.000, 0.500, 0.500).

The value obtained for the final energy is -8.18 eV per atom. The formation energy (no corrections) comes out at 0.3294 eV per atom. The calculation puts the offset from the most stable computed form at 0 meV per atom.

---

[15]
Entry from the Alexandria database: an optimized crystal structure of LiTlRh2 (PBE).

The structure belongs to space group P2/m (No. 10); the cell edges are 2.902, 4.174 and 5.368 Å and the angles 90.00°, 105.51° and 90.00°. Symmetry generates all atoms from Li at (0.000, 0.000, 0.000), Tl at (0.000, 0.000, 0.500) and Rh at (0.377, 0.500, 0.224).

The formation energy comes out at -0.001 eV/atom. The value obtained for the final energy is -4.75 eV per atom.

---

[16]
Entry from the Alexandria database: an optimized crystal structure of SrLiZnAg2 (PBE).

The structure belongs to space group P4/mmm (No. 123); the cell edges are 4.881, 4.881 and 4.807 Å and the angles 90.00°, 90.00° and 90.00°. Symmetry generates all atoms from Sr at (0.000, 0.000, 0.000), Li at (0.500, 0.500, 0.500), Zn at (0.500, 0.500, 0.000) and Ag at (0.000, 0.500, 0.500).

The formation energy comes out at -0.048 eV/atom. The value obtained for the final energy is -2.16 eV per atom. The calculation puts the offset from the most stable computed form at 179 meV per atom.

---

[17]
Entry from the Alexandria database: an optimized crystal structure of AcCd2Au (PBE).

The structure belongs to space group Fm-3m (No. 225); the cell edges are 7.444, 7.444 and 7.444 Å and the angles 90.00°, 90.00° and 90.00°. Symmetry generates all atoms from Ac at (0.000, 0.000, 0.000), Cd at (0.250, 0.250, 0.250) and Au at (0.000, 0.000, 0.500).

The formation energy comes out at -0.279 eV/atom. The value obtained for the final energy is -2.58 eV per atom. The calculation puts the offset from the most stable computed form at 227 meV per atom.

---

[18]
Entry from the Alexandria database: an optimized crystal structure of Na5ICl2O4 (PBE).

The structure belongs to space group Amm2 (No. 38); the cell edges are 7.003, 10.835 and 6.409 Å and the angles 90.00°, 90.00° and 90.00°. Symmetry generates all atoms from Na at (0.000, 0.000, 0.000), Na at (0.280, 0.199, 0.350), I at (0.500, 0.000, 0.026), Cl at (0.000, 0.166, 0.666), O at (0.284, 0.000, 0.198) and O at (0.500, 0.182, 0.047).

The value obtained for the final energy is -4.00 eV per atom. The formation energy (no corrections) comes out at -1.3638 eV per atom.

---

[19]
Entry from the Alexandria database: an optimized crystal structure of MgPaInTc (PBE).

The structure belongs to space group F-43m (No. 216); the cell edges are 6.956, 6.956 and 6.956 Å and the angles 90.00°, 90.00° and 90.00°. Symmetry generates all atoms from Mg at (0.000, 0.000, 0.000), Pa at (0.000, 0.000, 0.500), In at (0.250, 0.250, 0.250) and Tc at (0.250, 0.250, 0.750).

The formation energy comes out at 0.179 eV/atom. The value obtained for the final energy is -5.87 eV per atom.

---

[20]
Entry from the Alexandria database: an optimized crystal structure of Li4Pu3HfS8 (PBE).

The structure belongs to space group R-3m (No. 166, hexagonal axes); the cell edges are 7.7640, 7.7640 and 18.3709 Å and the angles 90.00°, 90.00° and 120.00°. Symmetry generates all atoms from Li at (0.0000, 0.0000, 0.0000), Li at (0.0000, 0.5000, 0.0000), Pu at (0.0000, 0.5000, 0.5000), Hf at (0.0000, 0.0000, 0.5000), S at (0.0000, 0.0000, 0.2514) and S at (0.0195, 0.5097, 0.2493).

The value obtained for the final energy is -7.40 eV per atom. The formation energy (no corrections) comes out at -1.5454 eV per atom.

---

[21]
Entry from the Alexandria database: an optimized crystal structure of LaSc2Mn (PBE).

The structure belongs to space group Imm2 (No. 44); the cell edges are 3.681, 5.105 and 10.040 Å and the angles 90.00°, 90.00° and 90.00°. Symmetry generates all atoms from La at (0.000, 0.000, 0.000), Sc at (0.000, 0.000, 0.418), Sc at (0.000, 0.500, 0.210) and Mn at (0.000, 0.500, 0.720).

The formation energy comes out at 0.189 eV/atom. The value obtained for the final energy is -6.50 eV per atom. The calculation puts the offset from the most stable computed form at 109 meV per atom.

---

[22]
Entry from the Alexandria database: an optimized crystal structure of Sm5Tl4Zn (PBE).

The structure belongs to space group P4/mmm (No. 123); the cell edges are 3.707, 3.707 and 20.295 Å and the angles 90.00°, 90.00° and 90.00°. Symmetry generates all atoms from Sm at (0.000, 0.000, 0.000), Sm at (0.000, 0.000, 0.207), Sm at (0.000, 0.000, 0.414), Tl at (0.500, 0.500, 0.104), Tl at (0.500, 0.500, 0.311) and Zn at (0.500, 0.500, 0.500).

The formation energy comes out at -0.378 eV/atom. The value obtained for the final energy is -3.81 eV per atom.